Entry 1:
This record from Alexandria via LeMat-Bulk describes an optimized crystal structure of PaInBr6. The functional is PBE-GGA.

abc: 7.4477 7.4430 8.0732
angles: 62.43 62.38 59.87
Atoms (fractional coordinates):
Pa 0.0000 0.0000 0.0000
In 0.5000 0.5000 0.5000
Br 0.0484 0.3895 0.7697
Br 0.7922 0.0487 0.7705
Br 0.6104 0.2081 0.2304
Br 0.2078 0.9513 0.2295
Br 0.9516 0.6105 0.2303
Br 0.3896 0.7919 0.7696

Values from the calculation:
spin magnetization: 0.0 μB/f.u.
density: 4.19 g/cm3
uncorrected energy: -32.37 eV per cell
DOS(E_F): 0.00 states/eV per atom
ΔE_f (raw): -974.1 kJ/mol of formula units

Entry 2:
This record from Alexandria via LeMat-Bulk describes an optimized crystal structure of Ac5La6Pm. The functional is PBE-GGA.

abc: 5.4462 10.8074 10.1481
angles: 122.16 105.66 90.00
Atoms (fractional coordinates):
Ac 0.6629 0.1633 0.3265
Ac 0.3333 0.3332 0.6665
Ac 0.0000 0.5000 0.0000
Ac 0.6667 0.6668 0.3335
Ac 0.3371 0.8367 0.6735
Pm 0.0000 0.0000 0.0000
La 0.8346 0.5867 0.6690
La 0.8348 0.0823 0.6692
La 0.5002 0.7529 0.0000
La 0.4998 0.2471 0.0000
La 0.1652 0.9177 0.3308
La 0.1654 0.4133 0.3310

Values from the calculation:
spin magnetization: 0.0 μB/f.u.
density: 7.32 g/cm3
uncorrected energy: -54.59 eV per cell
DOS(E_F): 1.95 states/eV per atom
energy of formation from the pure elements: 0.27 eV per formula unit

Entry 3:
This record from Alexandria via LeMat-Bulk describes an optimized crystal structure of NbPdPt2. The functional is PBE-GGA.

abc: 7.1962 7.1962 5.7808
angles: 51.51 51.51 90.00
Atoms (fractional coordinates):
Nb 0.5000 0.5000 0.0000
Nb 0.2500 0.7500 0.5000
Pd 0.0000 0.0000 0.0000
Pd 0.7500 0.2500 0.5000
Pt 0.6089 0.1250 0.2500
Pt 0.1411 0.6250 0.2500
Pt 0.3750 0.3911 0.7500
Pt 0.8750 0.8589 0.7500

Values from the calculation:
spin magnetization: 0.0 μB/f.u.
density: 13.78 g/cm3
uncorrected energy: -55.48 eV per cell
DOS(E_F): 1.21 states/eV per atom
energy of formation from the pure elements: -0.39 eV per formula unit

Entry 4:
This record from Alexandria via LeMat-Bulk describes an optimized crystal structure of Tl3AgPb. The functional is PBE-GGA.

abc: 5.5015 5.5015 5.5015
angles: 90.00 90.00 90.00
Atoms (fractional coordinates):
Pb 0.5000 0.5000 0.5000
Tl 0.0000 0.5000 0.0000
Tl 0.0000 0.0000 0.5000
Tl 0.5000 0.0000 0.0000
Ag 0.0000 0.0000 0.0000

Values from the calculation:
spin magnetization: 0.0 μB/f.u.
density: 9.26 g/cm3
uncorrected energy: -12.34 eV per cell
DOS(E_F): 0.59 states/eV per atom
energy of formation from the pure elements: 1.32 eV per formula unit

Entry 5:
This record from Alexandria via LeMat-Bulk describes an optimized crystal structure of Sr3Ho2PaBi6. The functional is PBE-GGA.

abc: 7.9695 7.9695 8.2092
angles: 99.31 99.31 120.02
Atoms (fractional coordinates):
Sr 0.1686 0.8314 0.5000
Sr 0.8314 0.1686 0.5000
Sr 0.5000 0.5000 0.5000
Ho 0.3337 0.6663 0.0000
Ho 0.6663 0.3337 0.0000
Pa 0.0000 0.0000 0.0000
Bi 0.9258 0.5964 0.7768
Bi 0.7456 0.7456 0.2239
Bi 0.0742 0.4036 0.2232
Bi 0.5964 0.9258 0.7768
Bi 0.2544 0.2544 0.7761
Bi 0.4036 0.0742 0.2232

Values from the calculation:
spin magnetization: 0.0 μB/f.u.
density: 8.08 g/cm3
uncorrected energy: -55.58 eV per cell
DOS(E_F): 0.64 states/eV per atom
energy of formation from the pure elements: -8.60 eV per formula unit

Question: Number 1 is which compound?
Answer: PaInBr6

Copy entry 3 word for word.
This record from Alexandria via LeMat-Bulk describes an optimized crystal structure of NbPdPt2. The functional is PBE-GGA.

abc: 7.1962 7.1962 5.7808
angles: 51.51 51.51 90.00
Atoms (fractional coordinates):
Nb 0.5000 0.5000 0.0000
Nb 0.2500 0.7500 0.5000
Pd 0.0000 0.0000 0.0000
Pd 0.7500 0.2500 0.5000
Pt 0.6089 0.1250 0.2500
Pt 0.1411 0.6250 0.2500
Pt 0.3750 0.3911 0.7500
Pt 0.8750 0.8589 0.7500

Values from the calculation:
spin magnetization: 0.0 μB/f.u.
density: 13.78 g/cm3
uncorrected energy: -55.48 eV per cell
DOS(E_F): 1.21 states/eV per atom
energy of formation from the pure elements: -0.39 eV per formula unit